Density functional theory data (PBE) for a relaxed structure of Cd2FeRh.

Properties
Crystal system ... tetragonal
Calculated total energy ... -31.45 eV per cell
Space group ... I-42d
Calculated density ... 8.68 Mg/m³

The structure in extended XYZ format:
```
8
Lattice="-3.678 3.678 2.711 3.678 -3.678 2.711 3.678 3.678 -2.711" Properties=species:S:1:pos:R:3 pbc="T T T"
Cd 5.517 1.809 -0.678
Cd 1.809 1.839 0.678
Cd -1.839 1.869 2.034
Cd 1.869 1.839 3.389
Fe 0.000 0.000 0.000
Fe 0.000 3.678 1.356
Rh 3.678 0.000 1.356
Rh 0.000 0.000 2.711
```

Density functional theory data (PBE) for a relaxed structure of CdFeRh2.

Properties
Crystal system ... tetragonal
Calculated total energy ... -24.51 eV per cell
Space group ... P4/mmm
Calculated density ... 10.20 Mg/m³

The structure in extended XYZ format:
```
4
Lattice="3.047 0.000 0.000 0.000 3.047 0.000 0.000 0.000 6.559" Properties=species:S:1:pos:R:3 pbc="T T T"
Cd 0.000 0.000 0.000
Fe 0.000 0.000 3.280
Rh 1.524 1.524 1.851
Rh 1.524 1.524 4.709
```

Density functional theory data (PBE) for a relaxed structure of CdFe2Rh.

Properties
Crystal system ... cubic
Calculated total energy ... -24.49 eV per cell
Space group ... F-43m
Calculated density ... 9.29 Mg/m³

The structure in extended XYZ format:
```
4
Lattice="0.000 3.081 3.081 3.081 0.000 3.081 3.081 3.081 0.000" Properties=species:S:1:pos:R:3 pbc="T T T"
Cd 0.000 0.000 0.000
Fe 3.081 3.081 3.081
Fe 4.621 4.621 4.621
Rh 1.540 1.540 1.540
```

Density functional theory data (PBE) for a relaxed structure of CdFe2Rh3.

Properties
Crystal system ... tetragonal
Calculated total energy ... -40.52 eV per cell
Space group ... P4/mmm
Calculated density ... 10.00 Mg/m³

The structure in extended XYZ format:
```
6
Lattice="3.040 0.000 0.000 0.000 3.040 0.000 0.000 0.000 9.573" Properties=species:S:1:pos:R:3 pbc="T T T"
Cd 0.000 0.000 0.000
Fe 0.000 0.000 3.265
Fe 0.000 0.000 6.308
Rh 1.520 1.520 1.880
Rh 1.520 1.520 4.787
Rh 1.520 1.520 7.693
```